(1)
A relaxed structure of CrOsPt2Cl. Source: the Alexandria database, functional PBE-GGA.

Unit cell a=4.668 b=4.668 c=4.496 alpha=90.00 beta=90.00 gamma=90.00
Space group P4/mmm (No. 123)
Asymmetric unit:
1 Cr 0.000 0.000 0.000 x1
2 Os 0.000 0.000 0.500 x1
3 Pt 0.000 0.500 0.000 x2
4 Cl 0.500 0.500 0.500 x1

Values from the calculation:
**Uncorrected formation energy**: 1.4383 eV/atom
**Crystal system**: tetragonal
**Total energy**: -5.52 eV/atom

=====

(2)
A relaxed structure of BaTlPb. Source: the Alexandria database, functional PBE-GGA.

Unit cell a=7.943 b=7.943 c=7.943 alpha=90.00 beta=90.00 gamma=90.00
Space group F-43m (No. 216)
Asymmetric unit:
1 Ba 0.000 0.000 0.000 x4
2 Tl 0.000 0.000 0.500 x4
3 Pb 0.250 0.250 0.750 x4

Values from the calculation:
**Energy relative to the elements**: -0.3007 eV per atom
**Crystal system**: cubic
**Total energy**: -2.97 eV/atom

=====

(3)
A relaxed structure of ReI2Cl3. Source: the Alexandria database, functional PBE-GGA.

Unit cell a=3.012 b=12.271 c=15.025 alpha=90.00 beta=90.00 gamma=90.00
Space group Imm2 (No. 44)
Asymmetric unit:
1 Re 0.000 0.000 0.000 x2
2 I 0.000 0.301 0.139 x4
3 Cl 0.000 0.135 0.902 x4
4 Cl 0.000 0.500 0.621 x2

Values from the calculation:
**Uncorrected formation energy**: -0.0126 eV/atom
**Crystal system**: orthorhombic
**Total energy**: -3.53 eV/atom

=====

> total energy of number 1 (CrOsPt2Cl)?

-5.52 eV/atom

=====

> What is the formula in the third record?

ReI2Cl3